No. 1
# BaYBi2

An optimized crystal structure of BaYBi2 (PBE, Alexandria via LeMat-Bulk).

It has space group Fm-3m (No. 225), with a = 8.209 Å, b = 8.209 Å, c = 8.209 Å, α = 90.00°, β = 90.00° and γ = 90.00°. The distinct sites, in fractional coordinates, are Ba at (0.000, 0.000, 0.000), Y at (0.000, 0.000, 0.500) and Bi at (0.250, 0.250, 0.250).

The calculation puts the total magnetization at 0.0 μB per formula unit. As for the calculated total energy: -18.63 eV/f.u. The calculation puts the energy above the most stable polymorph in this dataset at 169 meV/atom.

No. 2
# Y4AsPbSe2

An optimized crystal structure of Y4AsPbSe2 (PBE, Alexandria via LeMat-Bulk).

It has space group P2/m (No. 10), with a = 7.259 Å, b = 4.199 Å, c = 7.306 Å, α = 90.00°, β = 109.46° and γ = 90.00°. The distinct sites, in fractional coordinates, are Y at (0.244, 0.000, 0.239), Y at (0.252, 0.500, 0.760), As at (0.000, 0.500, 0.000), Pb at (0.000, 0.000, 0.500), Se at (0.500, 0.000, 0.000) and Se at (0.500, 0.500, 0.500).

The calculation puts the total magnetization at 0.0 μB per formula unit. As for the calculated total energy: -52.50 eV/f.u.